VASP calculation (GGA-PBE) on an optimized crystal structure of HfSn2Os.

## Properties
The total magnetic moment comes out at 0.0000 μB per atom. The uncorrected energy is -6.98 eV/atom. The formation energy comes out at 0.322 eV/atom.

a = 4.1174 Å, b = 4.1174 Å, c = 10.5639 Å
α = 78.76°, β = 78.76°, γ = 90.00°
With the nearest neighbours (Å) after each atom.
Element x y z (fractional)
Sn  0.1169  0.6250  0.2500  4 Sn 2.86-2.96, 2 Os 2.91, 2 Hf 2.94
Sn  0.8750  0.8831  0.7500  4 Sn 2.86-2.96, 2 Os 2.91, 2 Hf 2.94
Os  0.0000  0.0000  0.0000  4 Hf 2.91, 4 Sn 2.91
Sn  0.6331  0.1250  0.2500  4 Sn 2.86-2.96, 2 Os 2.91, 2 Hf 2.94
Sn  0.3750  0.3669  0.7500  4 Sn 2.86-2.96, 2 Os 2.91, 2 Hf 2.94
Hf  0.2500  0.7500  0.5000  4 Os 2.91, 4 Sn 2.94
Os  0.7500  0.2500  0.5000  4 Hf 2.91, 4 Sn 2.91
Hf  0.5000  0.5000  0.0000  4 Os 2.91, 4 Sn 2.94